A geometry-optimized SrGdCuS3 structure, computed with GGA-PBE.

The structure in CIF format:
```
data_SrGdCuS3
_chemical_formula_sum 'Sr4 Gd4 Cu4 S12'
_space_group_name_H-M_alt 'P n m a'
_space_group_IT_number 62
_cell_length_a 10.4103
_cell_length_b 3.9662
_cell_length_c 13.0347
_cell_angle_alpha 90.00
_cell_angle_beta 90.00
_cell_angle_gamma 90.00
loop_
_space_group_symop_operation_xyz
'x,y,z'
'-x,-y,-z'
'-x+1/2,-y,z+1/2'
'x+1/2,y,-z+1/2'
'x+1/2,-y+1/2,-z+1/2'
'-x+1/2,y+1/2,z+1/2'
'-x,y+1/2,-z'
'x,-y+1/2,z'
loop_
_atom_site_label
_atom_site_fract_x
_atom_site_fract_y
_atom_site_fract_z
_atom_site_occupancy
Sr1 0.2194 0.2500 0.0014 1
Gd1 0.0195 0.7500 0.2605 1
Cu1 0.2312 0.7500 0.7755 1
S1 0.0490 0.7500 0.8806 1
S2 0.0989 0.2500 0.3920 1
S3 0.2356 0.2500 0.6731 1
```

Values from the calculation:
electronic total energy = -0.520 Ry per atom

***

A geometry-optimized GdCuSb2 structure, computed with GGA-PBE.

The structure in CIF format:
```
data_GdCuSb2
_chemical_formula_sum 'Gd3 Cu3 Sb6'
_space_group_name_H-M_alt 'R -3 m'
_space_group_IT_number 166
_space_group_name_Hall '-R 3 2"'
_cell_length_a 3.4822
_cell_length_b 3.4822
_cell_length_c 29.6942
_cell_angle_alpha 90.00
_cell_angle_beta 90.00
_cell_angle_gamma 120.00
loop_
_atom_site_label
_atom_site_fract_x
_atom_site_fract_y
_atom_site_fract_z
_atom_site_occupancy
Gd1 0.0000 0.0000 0.0000 1
Cu1 0.0000 0.0000 0.5000 1
Sb1 0.0000 0.0000 0.1048 1
```

Values from the calculation:
ΔE to the lowest computed polymorph = 0.7504 eV/atom
DOS(E_F) = 0.782 states/eV/atom

***

A geometry-optimized GdCu4Sb structure, computed with GGA-PBE.

The structure in CIF format:
```
data_GdCu4Sb
_chemical_formula_sum 'Gd4 Cu16 Sb4'
_space_group_name_H-M_alt 'F -4 3 m'
_space_group_IT_number 216
_space_group_name_Hall 'F -4 2 3'
_cell_length_a 7.3856
_cell_length_b 7.3856
_cell_length_c 7.3856
_cell_angle_alpha 90.00
_cell_angle_beta 90.00
_cell_angle_gamma 90.00
loop_
_atom_site_label
_atom_site_fract_x
_atom_site_fract_y
_atom_site_fract_z
_atom_site_occupancy
Gd1 0.0000 0.0000 0.0000 1
Cu1 0.1250 0.1250 0.6250 1
Sb1 0.2500 0.2500 0.2500 1
```

Values from the calculation:
DOS(E_F) = 0.314 states/eV/atom
electronic total energy = -0.436 Ry per atom

***

A geometry-optimized GdCuSb2 structure, computed with GGA-PBE.

The structure in CIF format:
```
data_GdCuSb2
_chemical_formula_sum 'Gd2 Cu2 Sb4'
_space_group_name_H-M_alt 'P 4/n m m'
_space_group_IT_number 129
_cell_length_a 4.3443
_cell_length_b 4.3443
_cell_length_c 9.8800
_cell_angle_alpha 90.00
_cell_angle_beta 90.00
_cell_angle_gamma 90.00
loop_
_space_group_symop_operation_xyz
'x,y,z'
'-x,-y,-z'
'-y+1/2,x,z'
'y+1/2,-x,-z'
'-x+1/2,-y+1/2,z'
'x+1/2,y+1/2,-z'
'y,-x+1/2,z'
'-y,x+1/2,-z'
'x+1/2,-y,-z'
'-x+1/2,y,z'
'-y,-x,-z'
'y,x,z'
'-x,y+1/2,-z'
'x,-y+1/2,z'
'y+1/2,x+1/2,-z'
'-y+1/2,-x+1/2,z'
loop_
_atom_site_label
_atom_site_fract_x
_atom_site_fract_y
_atom_site_fract_z
_atom_site_occupancy
Gd1 0.2500 0.2500 0.2497 1
Cu1 0.2500 0.7500 0.0000 1
Sb1 0.2500 0.2500 0.8413 1
Sb2 0.2500 0.7500 0.5000 1
```

Values from the calculation:
ΔE to the lowest computed polymorph = 0.0000 eV/atom
DOS(E_F) = 0.349 states/eV/atom

***

A geometry-optimized Gd3Cu3Sb4 structure, computed with GGA-PBE.

The structure in CIF format:
```
data_Gd3Cu3Sb4
_chemical_formula_sum 'Gd12 Cu12 Sb16'
_space_group_name_H-M_alt 'I -4 3 d'
_space_group_IT_number 220
_space_group_name_Hall 'I -4bd 2c 3'
_cell_length_a 9.6480
_cell_length_b 9.6480
_cell_length_c 9.6480
_cell_angle_alpha 90.00
_cell_angle_beta 90.00
_cell_angle_gamma 90.00
loop_
_atom_site_label
_atom_site_fract_x
_atom_site_fract_y
_atom_site_fract_z
_atom_site_occupancy
Gd1 0.0000 0.2500 0.8750 1
Cu1 0.0000 0.2500 0.3750 1
Sb1 0.0803 0.4197 0.5803 1
```

Values from the calculation:
electronic total energy = -0.577 Ry per atom

***

A geometry-optimized GdScCu structure, computed with GGA-PBE.

The structure in CIF format:
```
data_GdScCu
_chemical_formula_sum 'Gd2 Sc2 Cu2'
_space_group_name_H-M_alt 'I 4 m m'
_space_group_IT_number 107
_space_group_name_Hall 'I 4 -2'
_cell_length_a 3.3867
_cell_length_b 3.3867
_cell_length_c 11.8353
_cell_angle_alpha 90.00
_cell_angle_beta 90.00
_cell_angle_gamma 90.00
loop_
_atom_site_label
_atom_site_fract_x
_atom_site_fract_y
_atom_site_fract_z
_atom_site_occupancy
Gd1 0.0000 0.0000 0.0000 1
Sc1 0.0000 0.0000 0.2821 1
Cu1 0.0000 0.0000 0.6650 1
```

Values from the calculation:
formation enthalpy at 0 K = -127 meV/atom
ΔE to the lowest computed polymorph = 0.0000 eV/atom
DOS(E_F) = 1.085 states/eV/atom

***

A geometry-optimized Gd2ScCu structure, computed with GGA-PBE.

The structure in CIF format:
```
data_Gd2ScCu
_chemical_formula_sum 'Gd6 Sc3 Cu3'
_space_group_name_H-M_alt 'R -3 m'
_space_group_IT_number 166
_space_group_name_Hall '-R 3 2"'
_cell_length_a 3.3556
_cell_length_b 3.3556
_cell_length_c 33.0622
_cell_angle_alpha 90.00
_cell_angle_beta 90.00
_cell_angle_gamma 120.00
loop_
_atom_site_label
_atom_site_fract_x
_atom_site_fract_y
_atom_site_fract_z
_atom_site_occupancy
Gd1 0.0000 0.0000 0.0846 1
Sc1 0.0000 0.0000 0.5000 1
Cu1 0.0000 0.0000 0.0000 1
```

Values from the calculation:
formation enthalpy at 0 K = 419 meV/atom
ΔE to the lowest computed polymorph = 0.4793 eV/atom
DOS(E_F) = 1.411 states/eV/atom

***

A geometry-optimized Gd2ScCu structure, computed with GGA-PBE.

The structure in CIF format:
```
data_Gd2ScCu
_chemical_formula_sum 'Gd2 Sc1 Cu1'
_space_group_name_H-M_alt 'P 4/m m m'
_space_group_IT_number 123
_space_group_name_Hall '-P 4 2'
_cell_length_a 5.2241
_cell_length_b 5.2241
_cell_length_c 3.6183
_cell_angle_alpha 90.00
_cell_angle_beta 90.00
_cell_angle_gamma 90.00
loop_
_atom_site_label
_atom_site_fract_x
_atom_site_fract_y
_atom_site_fract_z
_atom_site_occupancy
Gd1 0.0000 0.5000 0.0000 1
Sc1 0.0000 0.0000 0.5000 1
Cu1 0.5000 0.5000 0.5000 1
```

Values from the calculation:
formation enthalpy at 0 K = 49 meV/atom
ΔE to the lowest computed polymorph = 0.1091 eV/atom
DOS(E_F) = 1.113 states/eV/atom

***

| no. | size of the total moment (Bohr magnetons per cell) |
| --- | --- |
| 1 | 27.957 |
| 2 | 21.698 |
| 3 | 28.814 |
| 4 | 13.765 |
| 5 | 84.100 |
| 6 | 15.819 |
| 7 | 44.102 |
| 8 | 14.838 |